# Th2Co3B12Os GGA-PBE optimized geometry
data_Th2Co3B12Os
_chemical_formula_sum 'Th6 Co9 B36 Os3'
_symmetry_space_group_name_H-M 'R -3 m'
_symmetry_Int_Tables_number 166
_symmetry_space_group_name_Hall '-R 3 2"'
_cell_length_a 5.8172
_cell_length_b 5.8172
_cell_length_c 21.3245
_cell_angle_alpha 90.00
_cell_angle_beta 90.00
_cell_angle_gamma 120.00
loop_
_atom_site_label
_atom_site_fract_x
_atom_site_fract_y
_atom_site_fract_z
Th1 0.0000 0.0000 0.1299
Co1 0.0000 0.5000 0.0000
B1 0.0327 0.5163 0.0982
B2 0.1013 0.2026 0.7360
Os1 0.0000 0.0000 0.5000
# ρ: 7.659 g cm⁻³
# Formation energy: 0.12 eV/f.u.